{"formula": "Tl12Cd2Sn5", "functional": "PBE", "state": "optimized geometry", "cell": [[-4.546, -0.630, -0.462], [-3.579, -0.337, 12.584], [-4.452, 9.186, 8.191]], "species": ["Tl", "Tl", "Tl", "Tl", "Tl", "Tl", "Tl", "Tl", "Tl", "Tl", "Tl", "Tl", "Sn", "Sn", "Sn", "Sn", "Sn", "Cd", "Cd"], "frac_coords": [[0.926, 0.579, 0.579], [0.802, 0.952, 0.444], [0.896, 0.102, 0.102], [0.407, 0.352, 0.833], [0.802, 0.444, 0.952], [0.104, 0.898, 0.898], [0.407, 0.833, 0.352], [0.198, 0.048, 0.556], [0.198, 0.556, 0.048], [0.074, 0.421, 0.421], [0.593, 0.648, 0.167], [0.593, 0.167, 0.648], [0.283, 0.213, 0.213], [0.717, 0.787, 0.787], [0.309, 0.695, 0.695], [0.691, 0.305, 0.305], [0.500, 0.000, 0.000], [0.000, 0.228, 0.772], [0.000, 0.772, 0.228]], "crystal_system": "monoclinic", "dos_ef_per_ev_fu": 7.276, "formation_enthalpy_0k_ev_per_atom": 0.0491, "rho_g_cm3": 9.52, "total_energy_ev_per_cell": -49.31}